No. 1
Computed, not measured: TbDyGeTe after structural relaxation at the PBE level of DFT.

Cell lengths 4.2312, 4.2316, 7.6681 Å; angles 90.01, 106.01, 119.99 degrees
With the nearest neighbours (Å) after each atom.
Positions (direct):
Tb 0.1130 0.9544 0.0825  3 Ge 2.89, 3 Te 3.19
Dy 0.4925 0.1441 0.6518  3 Ge 2.91-2.92, 3 Te 3.21
Ge 0.3046 0.5503 0.8706  3 Tb 2.89, 3 Dy 2.91-2.92
Te 0.9678 0.3820 0.3648  3 Tb 3.19, 3 Dy 3.21

Size of the total moment   0.000 μB/f.u.
E_tot   -5.3705 eV per atom
Formation energy from raw total energies   -1.123 eV per atom

=====

No. 2
Computed, not measured: Cs2NaMoBr6 after structural relaxation at the PBE level of DFT.

Cell lengths 7.9042, 7.9042, 7.9042 Å; angles 60.00, 60.00, 60.00 degrees
With the nearest neighbours (Å) after each atom.
Positions (direct):
Cs 0.7500 0.7500 0.7500  12 Br 3.96
Cs 0.2500 0.2500 0.2500  12 Br 3.96
Na 0.5000 0.5000 0.5000  6 Br 2.97
Mo 0.0000 0.0000 0.0000  6 Br 2.62
Br 0.7654 0.2346 0.2346  1 Mo 2.62
Br 0.2346 0.2346 0.7654  1 Mo 2.62
Br 0.2346 0.7654 0.7654  1 Mo 2.62
Br 0.2346 0.7654 0.2346  1 Mo 2.62
Br 0.7654 0.2346 0.7654  1 Mo 2.62
Br 0.7654 0.7654 0.2346  1 Mo 2.62

Size of the total moment   3.000 μB/f.u.
E_tot   -3.6479 eV per atom
Formation energy from raw total energies   -1.258 eV per atom
E above lowest polymorph   0.009 eV per atom

=====

No. 3
Computed, not measured: Li7PbAu2 after structural relaxation at the PBE level of DFT.

Cell lengths 4.5321, 7.5125, 7.5126 Å; angles 119.07, 90.00, 90.00 degrees
With the nearest neighbours (Å) after each atom.
Positions (direct):
Li 0.0000 0.7746 0.2254  2 Au 2.47
Li 0.0000 0.2254 0.7746  2 Au 2.47
Li 0.5000 0.0613 0.3023  2 Au 2.62-2.73, 2 Li 2.77-2.88
Li 0.5000 0.9387 0.6977  2 Au 2.62-2.73, 2 Li 2.77-2.88
Li 0.5000 0.3023 0.0613  2 Au 2.62-2.73, 2 Li 2.77-2.88
Li 0.5000 0.6977 0.9387  2 Au 2.62-2.73, 2 Li 2.77-2.88
Li 0.5000 0.5000 0.5000  2 Au 2.56
Pb 0.0000 0.0000 0.0000  10 Li 2.92-3.08
Au 0.5000 0.6980 0.3020  7 Li 2.47-2.73
Au 0.5000 0.3020 0.6980  7 Li 2.47-2.73

Formation energy from the elements   -0.20 eV per atom
Size of the total moment   0.000 μB/f.u.
E_tot   -2.5621 eV per atom

=====

No. 4
Computed, not measured: Pm5Sm4Hg4 after structural relaxation at the PBE level of DFT.

Cell lengths 5.2715, 9.0639, 9.0639 Å; angles 85.15, 73.09, 73.09 degrees
With the nearest neighbours (Å) after each atom.
Positions (direct):
Pm 0.6842 0.9334 0.6983  3 Hg 3.19-3.21
Pm 0.3158 0.0666 0.3017  3 Hg 3.19-3.21
Pm 0.0000 0.0000 0.0000  4 Hg 3.15
Pm 0.6175 0.6983 0.0666  3 Hg 3.19-3.21
Pm 0.3825 0.3017 0.9334  3 Hg 3.19-3.21
Sm 0.9024 0.4885 0.7067  3 Hg 3.06-3.33
Sm 0.6091 0.2933 0.4885  3 Hg 3.06-3.33
Sm 0.0976 0.5115 0.2933  3 Hg 3.06-3.33
Sm 0.3909 0.7067 0.5115  3 Hg 3.06-3.33
Hg 0.7629 0.3356 0.1385  3 Sm 3.06-3.33, 4 Pm 3.15-3.21
Hg 0.2371 0.6644 0.8615  3 Sm 3.06-3.33, 4 Pm 3.15-3.21
Hg 0.9015 0.8615 0.3356  3 Sm 3.06-3.33, 4 Pm 3.15-3.21
Hg 0.0985 0.1385 0.6644  3 Sm 3.06-3.33, 4 Pm 3.15-3.21

Formation energy from the elements   -0.31 eV per atom
Size of the total moment   0.000 μB/f.u.
E_tot   -3.6811 eV per atom

=====

No. 5
Computed, not measured: Sr3Al after structural relaxation at the PBE level of DFT.

Cell lengths 10.4737, 10.4737, 10.4737 Å; angles 148.67, 148.67, 44.90 degrees
With the nearest neighbours (Å) after each atom.
Positions (direct):
Sr 0.0000 0.5000 0.5000  8 Sr 3.74-4.00, 4 Al 3.87
Sr 0.5000 0.0000 0.5000  8 Sr 3.74-4.00, 4 Al 3.87
Sr 0.7500 0.2500 0.5000  4 Al 3.58, 8 Sr 3.70-4.00
Sr 0.2500 0.7500 0.5000  4 Al 3.58, 8 Sr 3.70-4.00
Sr 0.8734 0.8734 0.0000  8 Sr 3.70-3.74, 4 Al 4.00
Sr 0.1266 0.1266 0.0000  8 Sr 3.70-3.74, 4 Al 4.00
Al 0.6364 0.6364 0.0000  12 Sr 3.58-4.00
Al 0.3636 0.3636 0.0000  12 Sr 3.58-4.00

Formation energy from the elements   0.04 eV per atom
Size of the total moment   0.000 μB/f.u.
E_tot   -2.1565 eV per atom

=====

No. 6
Computed, not measured: YVCl2 after structural relaxation at the PBE level of DFT.

Cell lengths 9.0394, 9.0394, 9.0394 Å; angles 21.96, 21.96, 21.96 degrees
With the nearest neighbours (Å) after each atom.
Positions (direct):
Y 0.5000 0.5000 0.5000  6 Cl 2.79
V 0.0000 0.0000 0.0000  2 Cl 2.46
Cl 0.9071 0.9071 0.9071  1 V 2.46
Cl 0.0929 0.0929 0.0929  1 V 2.46

Size of the total moment   3.523 μB/f.u.
E_tot   -5.5213 eV per atom
Formation energy from raw total energies   -0.702 eV per atom
E above lowest polymorph   0.000 eV per atom

=====

No. 7
Computed, not measured: LiAc2In6Ga after structural relaxation at the PBE level of DFT.

Cell lengths 7.1843, 7.1843, 13.0814 Å; angles 74.06, 74.06, 60.00 degrees
With the nearest neighbours (Å) after each atom.
Positions (direct):
Li 0.0000 0.0000 0.0000  6 In 2.65
Li 0.5000 0.5000 0.5000  6 In 2.70, 2 Ga 2.71
Ac 0.8910 0.8910 0.3271  12 In 3.59-3.77
Ac 0.1090 0.1090 0.6729  12 In 3.59-3.77
Ac 0.7158 0.7158 0.8527  12 In 3.62-3.64
Ac 0.2842 0.2842 0.1473  12 In 3.62-3.64
In 0.9204 0.3381 0.4034  1 Li 2.70, 1 Ga 2.85, 2 In 3.00
In 0.3381 0.9204 0.4034  1 Li 2.70, 1 Ga 2.85, 2 In 3.00
In 0.3381 0.3381 0.4034  1 Li 2.70, 1 Ga 2.85, 2 In 3.00
In 0.0796 0.6619 0.5966  1 Li 2.70, 1 Ga 2.85, 2 In 3.00
In 0.6619 0.0796 0.5966  1 Li 2.70, 1 Ga 2.85, 2 In 3.00
In 0.6619 0.6619 0.5966  1 Li 2.70, 1 Ga 2.85, 2 In 3.00
In 0.6642 0.2204 0.8949  1 Li 2.65, 1 Ga 2.86
In 0.2204 0.6642 0.8949  1 Li 2.65, 1 Ga 2.86
In 0.2204 0.2204 0.8949  1 Li 2.65, 1 Ga 2.86
In 0.3358 0.7796 0.1051  1 Li 2.65, 1 Ga 2.86
In 0.7796 0.3358 0.1051  1 Li 2.65, 1 Ga 2.86
In 0.7796 0.7796 0.1051  1 Li 2.65, 1 Ga 2.86
Ga 0.5728 0.5728 0.2817  1 Li 2.71, 6 In 2.85-2.86
Ga 0.4272 0.4272 0.7183  1 Li 2.71, 6 In 2.85-2.86

Formation energy from the elements   -0.25 eV per atom
Size of the total moment   0.000 μB/f.u.
E_tot   -3.2097 eV per atom

=====

No. 8
Computed, not measured: Pr4OsPtBr2 after structural relaxation at the PBE level of DFT.

Cell lengths 4.2156, 7.2771, 8.2128 Å; angles 107.08, 90.00, 90.00 degrees
With the nearest neighbours (Å) after each atom.
Positions (direct):
Pr 0.5000 0.2422 0.1957  1 Os 2.81, 2 Pt 2.91
Pr 0.5000 0.7578 0.8043  1 Os 2.81, 2 Pt 2.91
Pr 0.0000 0.2779 0.8012  2 Os 2.86, 1 Pt 2.95
Pr 0.0000 0.7221 0.1988  2 Os 2.86, 1 Pt 2.95
Os 0.5000 0.5000 0.0000  6 Pr 2.81-2.86
Pt 0.0000 0.0000 0.0000  6 Pr 2.91-2.95
Br 0.5000 0.0000 0.5000  6 Pr 3.42-3.45
Br 0.0000 0.5000 0.5000  6 Pr 3.33-3.38

Size of the total moment   0.000 μB/f.u.
E_tot   -5.9518 eV per atom
Formation energy from raw total energies   -0.985 eV per atom

=====

The lowest E_tot belongs to which entry? Pr4OsPtBr2

=====

What is the E_tot in the fourth record? -3.6811 eV per atom